Record 1
Below is an optimized crystal structure of K2CuSnHg, with properties calculated at the PBE-GGA level.

Space group = P4/mmm (123)
Formation energy from the elements = 1.6 eV/f.u.

extended XYZ file:
```
5
Lattice="6.390 0.000 0.000 0.000 6.390 0.000 0.000 0.000 4.946" Properties=species:S:1:pos:R:3 pbc="T T T"
K 0.000 3.195 0.000
K 3.195 0.000 0.000
Cu 0.000 0.000 2.473
Sn 3.195 3.195 2.473
Hg 0.000 0.000 0.000
```

Record 2
Below is an optimized crystal structure of KCuHgTe2, with properties calculated at the PBE-GGA level.

E_form (uncorrected) = -0.23 eV/atom
Space group = P4/mmm (123)
Energy above the lowest structure with this stoichiometry = 0.174 eV per atom

extended XYZ file:
```
5
Lattice="5.333 0.000 0.000 0.000 5.333 0.000 0.000 0.000 5.348" Properties=species:S:1:pos:R:3 pbc="T T T"
K 0.000 0.000 0.000
Cu 2.667 2.667 2.674
Hg 2.667 2.667 0.000
Te 0.000 2.667 2.674
Te 2.667 0.000 2.674
```

Record 3
Below is an optimized crystal structure of KCuHgTe2, with properties calculated at the PBE-GGA level.

E_form (uncorrected) = -0.40 eV/atom
Space group = C2/m (12)
Energy above the lowest structure with this stoichiometry = 0.000 eV per atom

extended XYZ file:
```
10
Lattice="8.789 -2.249 0.000 8.789 2.249 0.000 -3.008 0.000 9.116" Properties=species:S:1:pos:R:3 pbc="T T T"
K 3.073 0.000 1.979
K 11.497 0.000 7.137
Cu 0.654 0.000 5.050
Cu 13.915 0.000 4.067
Hg 7.431 0.000 2.467
Hg 7.139 0.000 6.650
Te -0.154 0.000 7.512
Te 4.726 0.000 5.310
Te 9.843 0.000 3.806
Te 14.724 0.000 1.604
```

Record 4
Below is an optimized crystal structure of K2TlCuHg, with properties calculated at the PBE-GGA level.

Space group = P4/mmm (123)
Formation energy from the elements = 0.5 eV/f.u.

extended XYZ file:
```
5
Lattice="6.428 0.000 0.000 0.000 6.428 0.000 0.000 0.000 5.002" Properties=species:S:1:pos:R:3 pbc="T T T"
K 0.000 3.214 0.000
K 3.214 0.000 0.000
Tl 0.000 0.000 2.501
Cu 0.000 0.000 0.000
Hg 3.214 3.214 2.501
```

Record 5
Below is an optimized crystal structure of KTl2CuHg, with properties calculated at the PBE-GGA level.

Space group = P4/mmm (123)
Energy above the lowest structure with this stoichiometry = 0.000 eV per atom
Formation energy from the elements = 0.1 eV/f.u.

extended XYZ file:
```
5
Lattice="5.353 0.000 0.000 0.000 5.353 0.000 0.000 0.000 5.298" Properties=species:S:1:pos:R:3 pbc="T T T"
K 0.000 0.000 0.000
Tl 0.000 2.677 2.649
Tl 2.677 0.000 2.649
Cu 2.677 2.677 2.649
Hg 2.677 2.677 0.000
```

Record 6
Below is an optimized crystal structure of KTl2CuHg, with properties calculated at the PBE-GGA level.

Space group = P4/mmm (123)
Energy above the lowest structure with this stoichiometry = 0.080 eV per atom
Formation energy from the elements = 0.5 eV/f.u.

extended XYZ file:
```
5
Lattice="5.160 0.000 0.000 0.000 5.160 0.000 0.000 0.000 6.361" Properties=species:S:1:pos:R:3 pbc="T T T"
K 0.000 0.000 0.000
Tl 0.000 2.580 3.180
Tl 2.580 0.000 3.180
Cu 0.000 0.000 3.180
Hg 2.580 2.580 0.000
```

Record 7
Below is an optimized crystal structure of KZnCuHg2, with properties calculated at the PBE-GGA level.

Space group = P4/mmm (123)
Formation energy from the elements = -0.1 eV/f.u.

extended XYZ file:
```
5
Lattice="5.239 0.000 0.000 0.000 5.239 0.000 0.000 0.000 4.870" Properties=species:S:1:pos:R:3 pbc="T T T"
K 0.000 0.000 0.000
Zn 2.619 2.619 0.000
Cu 2.619 2.619 2.435
Hg 0.000 2.619 2.435
Hg 2.619 0.000 2.435
```

Record 8
Below is an optimized crystal structure of La5Cu4Hg, with properties calculated at the PBE-GGA level.

Space group = P4/mmm (123)
Formation energy from the elements = -2.0 eV/f.u.

extended XYZ file:
```
10
Lattice="3.669 0.000 0.000 0.000 3.669 0.000 0.000 0.000 18.952" Properties=species:S:1:pos:R:3 pbc="T T T"
La 0.000 0.000 0.000
La 0.000 0.000 3.672
La 0.000 0.000 7.293
La 0.000 0.000 11.660
La 0.000 0.000 15.280
Cu 1.835 1.835 1.825
Cu 1.835 1.835 5.463
Cu 1.835 1.835 13.489
Cu 1.835 1.835 17.128
Hg 1.835 1.835 9.476
```

Record 9
Below is an optimized crystal structure of La6CuHg5, with properties calculated at the PBE-GGA level.

Space group = C2/m (12)
Formation energy from the elements = -5.2 eV/f.u.

extended XYZ file:
```
12
Lattice="8.613 -3.914 0.000 8.613 3.914 0.000 -1.711 0.000 5.191" Properties=species:S:1:pos:R:3 pbc="T T T"
La 5.265 2.021 1.763
La 8.613 2.071 0.000
La 10.250 2.021 3.428
La 5.265 -2.021 1.763
La 8.613 -2.071 0.000
La 10.250 -2.021 3.428
Cu -0.855 0.000 2.596
Hg 2.706 0.000 0.903
Hg 4.319 0.000 4.327
Hg 7.758 0.000 2.596
Hg 11.197 0.000 0.865
Hg 12.810 0.000 4.288
```

Record 10
Below is an optimized crystal structure of LaCu2Hg2, with properties calculated at the PBE-GGA level.

Space group = I4/mmm (139)
Energy above the lowest structure with this stoichiometry = 0.055 eV per atom
Formation energy from the elements = -0.7 eV/f.u.

extended XYZ file:
```
5
Lattice="-2.419 2.419 4.763 2.419 -2.419 4.763 2.419 2.419 -4.763" Properties=species:S:1:pos:R:3 pbc="T T T"
La 0.000 0.000 0.000
Cu 2.419 0.000 2.382
Cu 0.000 2.419 2.382
Hg 0.000 0.000 3.372
Hg 0.000 0.000 6.154
```

Record 11
Below is an optimized crystal structure of LaCuHg3, with properties calculated at the PBE-GGA level.

Space group = Pm-3m (221)
Energy above the lowest structure with this stoichiometry = 0.886 eV per atom
Formation energy from the elements = 3.8 eV/f.u.

extended XYZ file:
```
5
Lattice="6.155 0.000 0.000 0.000 6.155 0.000 0.000 0.000 6.155" Properties=species:S:1:pos:R:3 pbc="T T T"
La 0.000 0.000 0.000
Cu 3.078 3.078 3.078
Hg 0.000 0.000 3.078
Hg 0.000 3.078 0.000
Hg 3.078 0.000 0.000
```

Record 12
Below is an optimized crystal structure of LaCuHg2, with properties calculated at the PBE-GGA level.

Space group = C2/m (12)
Formation energy from the elements = 0.2 eV/f.u.

extended XYZ file:
```
4
Lattice="3.024 -5.641 0.000 3.024 5.641 0.000 -2.032 0.000 3.042" Properties=species:S:1:pos:R:3 pbc="T T T"
La 0.000 0.000 0.000
Cu 3.024 0.000 0.000
Hg 0.496 2.821 1.521
Hg 0.496 -2.821 1.521
```

Please write out number 12 again, unchanged.
Below is an optimized crystal structure of LaCuHg2, with properties calculated at the PBE-GGA level.

Space group = C2/m (12)
Formation energy from the elements = 0.2 eV/f.u.

extended XYZ file:
```
4
Lattice="3.024 -5.641 0.000 3.024 5.641 0.000 -2.032 0.000 3.042" Properties=species:S:1:pos:R:3 pbc="T T T"
La 0.000 0.000 0.000
Cu 3.024 0.000 0.000
Hg 0.496 2.821 1.521
Hg 0.496 -2.821 1.521
```